# 1
First-principles (GGA-PBE) data for crystalline TeC2Br at its relaxed geometry, as listed in Alexandria.

Cell and atoms, written as POSCAR:
```
TeC2Br
1.0
-3.958 -0.937 1.742
-3.085 3.156 0.307
-3.580 -0.147 -2.595
C Te Br
2 1 1
Direct
0.250 0.250 0.250
0.750 0.750 0.750
0.500 0.500 0.500
0.000 0.000 0.000
```

## Properties
As for the symmetry: Fm-3m. Its total energy is -3.050 eV/atom. As for the spin magnetization: 0.000 μB/f.u. The density comes out at 6.28 g cm⁻³. Its density of states at the Fermi level is 0.571 states/eV/atom.

=====

# 2
First-principles (GGA-PBE) data for crystalline Te2CBr at its relaxed geometry, as listed in Alexandria.

Cell and atoms, written as POSCAR:
```
Te2CBr
1.0
-3.749 -2.292 -2.862
1.148 -5.114 -0.149
-3.235 -2.359 3.386
C Te Br
1 2 1
Direct
0.000 0.000 0.000
0.832 0.832 0.832
0.168 0.168 0.168
0.500 0.500 0.500
```

## Properties
As for the symmetry: R-3m. Its total energy is -3.494 eV/atom. As for the spin magnetization: 0.000 μB/f.u. The density comes out at 4.46 g cm⁻³. Its density of states at the Fermi level is 0.507 states/eV/atom.

=====

# 3
First-principles (GGA-PBE) data for crystalline Te3CBr at its relaxed geometry, as listed in Alexandria.

Cell and atoms, written as POSCAR:
```
Te3CBr
1.0
5.603 0.000 0.000
0.000 5.603 0.000
0.000 0.000 5.603
C Te Br
1 3 1
Direct
0.500 0.500 0.500
0.000 0.500 0.000
0.000 0.000 0.500
0.500 0.000 0.000
0.000 0.000 0.000
```

## Properties
As for the symmetry: Pm-3m. Its total energy is -1.895 eV/atom. As for the spin magnetization: 0.895 μB/f.u. The density comes out at 4.48 g cm⁻³. Its density of states at the Fermi level is 1.455 states/eV/atom.